(1)
Entry from OQMD: a relaxed structure of LuNpOs (GGA-PBE).

POSCAR file:
```
LuNpOs
1.0
0.000 3.308 3.308
3.308 0.000 3.308
3.308 3.308 0.000
Lu Np Os
1 1 1
Direct
0.250 0.250 0.250
0.750 0.750 0.750
0.000 0.000 0.000
```

Properties
**VASP energy**: -28.2 eV for the cell shown
**Polymorph energy (0 for the lowest one)**: 0 meV/atom
**SG**: No. 216
**Spin magnetization**: 1.28 μB/atom
**Formation energy**: 0.10 eV per atom

---

(2)
Entry from OQMD: a relaxed structure of LuNpPb (GGA-PBE).

POSCAR file:
```
LuNpPb
1.0
-3.448 -3.804 -0.760
-4.403 0.964 -2.573
-0.706 -1.950 -4.758
Lu Np Pb
1 1 1
Direct
0.500 0.500 0.500
0.000 0.000 0.000
0.250 0.250 0.250
```

Properties
**VASP energy**: -19.8 eV for the cell shown
**Polymorph energy (0 for the lowest one)**: 0 meV/atom
**SG**: No. 216
**Spin magnetization**: 2.00 μB/atom

---

(3)
Entry from OQMD: a relaxed structure of LuNpPd (GGA-PBE).

POSCAR file:
```
LuNpPd
1.0
0.000 3.401 3.401
3.401 0.000 3.401
3.401 3.401 0.000
Lu Np Pd
1 1 1
Direct
0.250 0.250 0.250
0.750 0.750 0.750
0.000 0.000 0.000
```

Properties
**VASP energy**: -22.4 eV for the cell shown
**Polymorph energy (0 for the lowest one)**: 0 meV/atom
**SG**: No. 216
**Spin magnetization**: 1.67 μB/atom
**Formation energy**: 0.01 eV per atom

---

(4)
Entry from OQMD: a relaxed structure of PmLuNp (GGA-PBE).

POSCAR file:
```
PmLuNp
1.0
2.444 -3.627 2.803
-1.015 -0.485 5.072
-2.616 -4.137 1.741
Np Pm Lu
1 1 1
Direct
0.250 0.250 0.250
0.750 0.750 0.750
0.000 0.000 0.000
```

Properties
**VASP energy**: -18.6 eV for the cell shown
**Polymorph energy (0 for the lowest one)**: 0 meV/atom
**SG**: No. 216
**Spin magnetization**: 1.68 μB/atom
**Formation energy**: 1.16 eV per atom

---

(5)
Entry from OQMD: a relaxed structure of PrLuNp (GGA-PBE).

POSCAR file:
```
PrLuNp
1.0
0.000 3.650 3.650
3.650 0.000 3.650
3.650 3.650 0.000
Lu Pr Np
1 1 1
Direct
0.250 0.250 0.250
0.000 0.000 0.000
0.750 0.750 0.750
```

Properties
**VASP energy**: -18.7 eV for the cell shown
**SG**: No. 216
**Spin magnetization**: 1.83 μB/atom
**Formation energy**: 1.14 eV per atom

---

(6)
Entry from OQMD: a relaxed structure of LuPuNp (GGA-PBE).

POSCAR file:
```
LuPuNp
1.0
-0.706 -4.259 2.345
-4.491 -1.223 1.574
-2.469 -3.635 -2.198
Lu Np Pu
1 1 1
Direct
0.250 0.250 0.250
0.750 0.750 0.750
0.000 0.000 0.000
```

Properties
**VASP energy**: -28.8 eV for the cell shown
**Polymorph energy (0 for the lowest one)**: 0 meV/atom
**SG**: No. 216
**Spin magnetization**: 3.41 μB/atom
**Formation energy**: 0.86 eV per atom

---

Please write out number 1 again, unchanged.
Entry from OQMD: a relaxed structure of LuNpOs (GGA-PBE).

POSCAR file:
```
LuNpOs
1.0
0.000 3.308 3.308
3.308 0.000 3.308
3.308 3.308 0.000
Lu Np Os
1 1 1
Direct
0.250 0.250 0.250
0.750 0.750 0.750
0.000 0.000 0.000
```

Properties
**VASP energy**: -28.2 eV for the cell shown
**Polymorph energy (0 for the lowest one)**: 0 meV/atom
**SG**: No. 216
**Spin magnetization**: 1.28 μB/atom
**Formation energy**: 0.10 eV per atom

---

Which of these has the highest VASP energy?
PmLuNp

---

What did the fifth record say?
Entry from OQMD: a relaxed structure of PrLuNp (GGA-PBE).

POSCAR file:
```
PrLuNp
1.0
0.000 3.650 3.650
3.650 0.000 3.650
3.650 3.650 0.000
Lu Pr Np
1 1 1
Direct
0.250 0.250 0.250
0.000 0.000 0.000
0.750 0.750 0.750
```

Properties
**VASP energy**: -18.7 eV for the cell shown
**SG**: No. 216
**Spin magnetization**: 1.83 μB/atom
**Formation energy**: 1.14 eV per atom